This record from the Alexandria database describes a relaxed Sr3CeTe4 crystal. The functional is PBE.

## Properties
**Polymorph energy (0 for the lowest one)**: 0 meV/atom
**E_form (uncorrected)**: -1604 meV per atom
**DOS at the Fermi energy**: 1.2697 states/eV/atom

Unit cell a=8.1341 b=8.1341 c=4.6648 alpha=90.00 beta=90.00 gamma=109.32
Sites, in units of the cell vectors:
Sr1 0.0000 0.0000 0.0000
Sr2 0.0000 0.5000 0.5000
Sr3 0.5000 0.0000 0.5000
Ce1 0.5000 0.5000 0.0000
Te1 0.2539 0.7461 0.0000
Te2 0.2564 0.2564 0.5000
Te3 0.7436 0.7436 0.5000
Te4 0.7461 0.2539 0.0000


This record from the Alexandria database describes a relaxed SrCe3Te4 crystal. The functional is PBE.

## Properties
**E_form (uncorrected)**: -1419 meV per atom
**DOS at the Fermi energy**: 2.8031 states/eV/atom

Unit cell a=7.9110 b=7.9110 c=4.5182 alpha=90.00 beta=90.00 gamma=109.17
Sites, in units of the cell vectors:
Sr1 0.0000 0.0000 0.0000
Ce1 0.0000 0.5000 0.5000
Ce2 0.5000 0.0000 0.5000
Ce3 0.5000 0.5000 0.0000
Te1 0.2521 0.7479 0.0000
Te2 0.2549 0.2549 0.5000
Te3 0.7451 0.7451 0.5000
Te4 0.7479 0.2521 0.0000